{
  "formula": "YBi3Au",
  "functional": "PBE-GGA",
  "state": "optimized geometry",
  "lattice": [[5.834, 0.000, 0.000], [0.000, 5.834, 0.000], [0.000, 0.000, 5.834]],
  "species": ["Y", "Bi", "Bi", "Bi", "Au"],
  "frac_coords": [[0.000, 0.000, 0.000], [0.000, 0.000, 0.500], [0.000, 0.500, 0.000], [0.500, 0.000, 0.000], [0.500, 0.500, 0.500]],
  "magnetic_moment_mub_per_fu": 0.00,
  "relative_energy_mev_per_atom": 357.4,
  "formation_energy_ev_per_atom": 0.5579
}

{
  "formula": "Y2BiAu",
  "functional": "PBE-GGA",
  "state": "optimized geometry",
  "lattice": [[-4.011, 4.011, 3.677], [4.011, -4.011, 3.677], [4.011, 4.011, -3.677]],
  "species": ["Y", "Y", "Y", "Y", "Bi", "Bi", "Au", "Au"],
  "frac_coords": [[0.099, 0.625, 0.974], [0.375, 0.349, 0.474], [0.651, 0.125, 0.026], [0.875, 0.901, 0.526], [0.250, 0.750, 0.500], [0.500, 0.500, 0.000], [0.000, 0.000, 0.000], [0.750, 0.250, 0.500]],
  "magnetic_moment_mub_per_fu": 0.00,
  "formation_energy_ev_per_atom": -0.5546
}

{
  "formula": "Y2BiAu",
  "functional": "PBE-GGA",
  "state": "optimized geometry",
  "lattice": [[2.061, -11.754, 0.000], [2.061, 11.754, 0.000], [0.000, 0.000, 4.635]],
  "species": ["Y", "Y", "Y", "Y", "Bi", "Bi", "Au", "Au"],
  "frac_coords": [[0.059, 0.941, 0.750], [0.329, 0.671, 0.750], [0.671, 0.329, 0.250], [0.941, 0.059, 0.250], [0.192, 0.808, 0.750], [0.808, 0.192, 0.250], [0.459, 0.541, 0.750], [0.541, 0.459, 0.250]],
  "magnetic_moment_mub_per_fu": 0.00,
  "formation_energy_ev_per_atom": -0.7871
}

{
  "formula": "Y2Bi2Au",
  "functional": "PBE-GGA",
  "state": "optimized geometry",
  "lattice": [[8.063, 0.000, 0.000], [0.000, 8.063, 0.000], [0.000, 0.000, 4.455]],
  "species": ["Y", "Y", "Y", "Y", "Bi", "Bi", "Bi", "Bi", "Au", "Au"],
  "frac_coords": [[0.161, 0.339, 0.000], [0.339, 0.839, 0.000], [0.661, 0.161, 0.000], [0.839, 0.661, 0.000], [0.149, 0.649, 0.500], [0.351, 0.149, 0.500], [0.649, 0.851, 0.500], [0.851, 0.351, 0.500], [0.000, 0.000, 0.000], [0.500, 0.500, 0.000]],
  "magnetic_moment_mub_per_fu": 0.00,
  "relative_energy_mev_per_atom": 0.0,
  "formation_energy_ev_per_atom": -0.5680
}

{
  "formula": "YBi2Au2",
  "functional": "PBE-GGA",
  "state": "optimized geometry",
  "lattice": [[-2.305, 2.305, 6.424], [2.305, -2.305, 6.424], [2.305, 2.305, -6.424]],
  "species": ["Y", "Bi", "Bi", "Au", "Au"],
  "frac_coords": [[0.000, 0.000, 0.000], [0.250, 0.750, 0.500], [0.750, 0.250, 0.500], [0.398, 0.398, 0.000], [0.602, 0.602, 0.000]],
  "magnetic_moment_mub_per_fu": 0.00,
  "relative_energy_mev_per_atom": 176.3,
  "formation_energy_ev_per_atom": -0.2207
}

{
  "formula": "YBiAu2",
  "functional": "PBE-GGA",
  "state": "optimized geometry",
  "lattice": [[-2.129, 2.138, 5.905], [2.129, -2.138, 5.905], [2.129, 2.138, -5.905]],
  "species": ["Y", "Bi", "Au", "Au"],
  "frac_coords": [[0.000, 0.000, 0.000], [0.500, 0.500, 0.000], [0.254, 0.254, 0.000], [0.746, 0.746, 0.000]],
  "magnetic_moment_mub_per_fu": 0.00,
  "formation_energy_ev_per_atom": -0.1671
}

{
  "formula": "YBi2Au",
  "functional": "PBE-GGA",
  "state": "optimized geometry",
  "lattice": [[-4.182, 4.182, 3.259], [4.182, -4.182, 3.259], [4.182, 4.182, -3.259]],
  "species": ["Y", "Y", "Bi", "Bi", "Bi", "Bi", "Au", "Au"],
  "frac_coords": [[0.000, 0.000, 0.000], [0.750, 0.250, 0.500], [0.163, 0.625, 0.038], [0.375, 0.413, 0.538], [0.587, 0.125, 0.962], [0.875, 0.837, 0.462], [0.250, 0.750, 0.500], [0.500, 0.500, 0.000]],
  "magnetic_moment_mub_per_fu": 0.00,
  "formation_energy_ev_per_atom": -0.3122
}

{
  "formula": "Y5BiAu2",
  "functional": "PBE-GGA",
  "state": "optimized geometry",
  "lattice": [[-4.076, 4.076, 6.606], [4.076, -4.076, 6.606], [4.076, 4.076, -6.606]],
  "species": ["Y", "Y", "Y", "Y", "Y", "Y", "Y", "Y", "Y", "Y", "Bi", "Bi", "Au", "Au", "Au", "Au"],
  "frac_coords": [[0.000, 0.000, 0.000], [0.013, 0.513, 0.809], [0.204, 0.013, 0.500], [0.296, 0.796, 0.809], [0.487, 0.296, 0.500], [0.500, 0.500, 0.000], [0.513, 0.704, 0.500], [0.704, 0.204, 0.191], [0.796, 0.987, 0.500], [0.987, 0.487, 0.191], [0.250, 0.250, 0.000], [0.750, 0.750, 0.000], [0.138, 0.362, 0.500], [0.362, 0.862, 0.224], [0.638, 0.138, 0.776], [0.862, 0.638, 0.500]],
  "magnetic_moment_mub_per_fu": 0.00,
  "formation_energy_ev_per_atom": -0.7133
}

{
  "formula": "YBi2Au2",
  "functional": "PBE-GGA",
  "state": "optimized geometry",
  "lattice": [[-2.045, 2.045, 7.820], [2.045, -2.045, 7.820], [2.045, 2.045, -7.820]],
  "species": ["Y", "Bi", "Bi", "Au", "Au"],
  "frac_coords": [[0.000, 0.000, 0.000], [0.395, 0.395, 0.000], [0.605, 0.605, 0.000], [0.250, 0.750, 0.500], [0.750, 0.250, 0.500]],
  "magnetic_moment_mub_per_fu": 0.00,
  "relative_energy_mev_per_atom": 185.1,
  "formation_energy_ev_per_atom": -0.2118
}

{
  "formula": "YBiAu3",
  "functional": "PBE-GGA",
  "state": "optimized geometry",
  "lattice": [[5.361, 0.000, 0.000], [0.000, 5.361, 0.000], [0.000, 0.000, 5.361]],
  "species": ["Y", "Bi", "Au", "Au", "Au"],
  "frac_coords": [[0.000, 0.000, 0.000], [0.500, 0.500, 0.500], [0.000, 0.000, 0.500], [0.000, 0.500, 0.000], [0.500, 0.000, 0.000]],
  "magnetic_moment_mub_per_fu": 0.00,
  "relative_energy_mev_per_atom": 96.0,
  "formation_energy_ev_per_atom": 0.4263
}

{
  "formula": "YBiAu2",
  "functional": "PBE-GGA",
  "state": "optimized geometry",
  "lattice": [[2.011, 1.161, 7.575], [-2.011, 1.161, 7.575], [0.000, -2.322, 7.575]],
  "species": ["Y", "Bi", "Au", "Au"],
  "frac_coords": [[0.000, 0.000, 0.000], [0.833, 0.833, 0.833], [0.414, 0.414, 0.414], [0.586, 0.586, 0.586]],
  "magnetic_moment_mub_per_fu": 0.00,
  "formation_energy_ev_per_atom": -0.4466
}

{
  "formula": "YBiAu2",
  "functional": "PBE-GGA",
  "state": "optimized geometry",
  "lattice": [[4.560, 0.000, 0.000], [0.000, 4.560, 0.000], [0.000, 0.000, 4.452]],
  "species": ["Y", "Bi", "Au", "Au"],
  "frac_coords": [[0.000, 0.000, 0.000], [0.500, 0.500, 0.000], [0.000, 0.500, 0.500], [0.500, 0.000, 0.500]],
  "magnetic_moment_mub_per_fu": 0.00,
  "formation_energy_ev_per_atom": -0.5258
}

Which formula does entry 7 have? YBi2Au